## Zn2TeO5 (GGA-PBE)

Data for a relaxed Zn2TeO5 crystal.

Cell lengths 10.417, 5.310, 7.286 Å; angles 90.00, 111.50, 90.00 degrees
Space group C2/c (No. 15)
Unique sites:
Zn1 0.139 0.019 0.232 [8 per cell]
Te1 0.000 0.500 0.000 [4 per cell]
O1 0.000 0.329 0.750 [4 per cell]
O2 0.080 0.184 0.460 [8 per cell]
O3 0.179 0.357 0.138 [8 per cell]

Values from the calculation:
Formation energy without anion corrections = -916 kJ/mol of formula units
Magnetization = 0.0 μB per cell